Entry 1:
6
Lattice="0.000 3.415 3.415 3.415 0.000 3.415 3.415 3.415 0.000" Properties=species:S:1:pos:R:3 comment="Co4SbAu, PBEsol geometry, DFT SCAN" dft_energy_ev_per_cell=-173.9 n_ef_per_ev_fu=6.27 e_form_raw_kj_per_mol_fu=169 m_tot_mub_per_cell=7.9 pbc="T T T"
Co 0.857 0.857 0.857
Co 2.558 2.558 0.857
Co 2.558 0.857 2.558
Co 0.857 2.558 2.558
Sb 5.123 5.123 5.123
Au 3.415 3.415 3.415


Entry 2:
5
Lattice="4.145 0.000 0.000 0.000 4.145 0.000 0.000 0.000 4.145" Properties=species:S:1:pos:R:3 comment="RbSnO3, PBEsol geometry, DFT SCAN" dft_energy_ev_per_cell=-82.3 n_ef_per_ev_fu=3.22 e_form_raw_kj_per_mol_fu=-673 m_tot_mub_per_cell=1.0 pbc="T T T"
Rb 0.000 0.000 0.000
Sn 2.072 2.072 2.072
O 0.000 2.072 2.072
O 2.072 0.000 2.072
O 2.072 2.072 0.000


Entry 3:
4
Lattice="1.941 1.121 9.704 -1.941 1.121 9.704 0.000 -2.241 9.704" Properties=species:S:1:pos:R:3 comment="RbBiCl2, PBEsol geometry, DFT SCAN" dft_energy_ev_per_cell=-119.9 n_ef_per_ev_fu=0.57 e_form_raw_kj_per_mol_fu=-448 m_tot_mub_per_cell=0.0 pbc="T T T"
Rb 0.000 0.000 0.000
Bi 0.000 0.000 14.555
Cl 0.000 0.000 11.863
Cl 0.000 0.000 17.247


Entry 4:
4
Lattice="0.000 3.495 3.495 3.495 0.000 3.495 3.495 3.495 0.000" Properties=species:S:1:pos:R:3 comment="CdTeAs2, PBEsol geometry, DFT SCAN" dft_energy_ev_per_cell=-106.4 n_ef_per_ev_fu=2.46 e_form_raw_kj_per_mol_fu=157 m_tot_mub_per_cell=0.0 pbc="T T T"
Cd 0.000 0.000 0.000
Te 3.495 3.495 3.495
As 1.748 1.748 1.748
As 5.243 5.243 5.243


Entry 5:
4
Lattice="2.956 0.000 0.000 0.000 2.956 0.000 0.000 0.000 5.599" Properties=species:S:1:pos:R:3 comment="MnCu2Re, PBEsol geometry, DFT SCAN" dft_energy_ev_per_cell=-119.2 n_ef_per_ev_fu=1.63 m_tot_mub_per_cell=2.2 pbc="T T T"
Mn 0.000 0.000 0.000
Cu 0.000 0.000 2.916
Cu 1.478 1.478 4.151
Re 1.478 1.478 1.298


Entry 6:
5
Lattice="4.863 0.000 0.000 -2.431 4.211 0.000 0.000 0.000 6.066" Properties=species:S:1:pos:R:3 comment="Mg2In3, PBEsol geometry, DFT SCAN" dft_energy_ev_per_cell=-110.6 n_ef_per_ev_fu=2.23 m_tot_mub_per_cell=0.0 pbc="T T T"
Mg 0.000 2.807 2.149
Mg 2.431 1.404 3.917
In 0.000 0.000 3.033
In 0.000 2.807 5.256
In 2.431 1.404 0.810